LaPmSm4Ho2 | PBE | relaxed

Calculated values
**ΔE_f**: 19 meV per atom
**Electronic total energy**: -4.69 eV/atom

Cell: 6.2430 3.6279 12.0503 Å, 90.00 100.09 90.00°
Last column: nearest neighbours and their distance in Å.
Sites, in units of the cell vectors:
La  0.0000  0.0000  0.0000  4 Ho 3.61, 2 La 3.63, 6 Sm 3.63-3.66
Pm  0.0000  0.5000  0.5000  6 Sm 3.60-3.62, 4 Ho 3.61, 2 Pm 3.63
Sm  0.2505  0.0000  0.7496  6 Sm 3.60-3.63, 3 Ho 3.62-3.63, 2 Pm 3.62, 1 La 3.63
Sm  0.2518  0.5000  0.2528  3 Ho 3.60-3.65, 1 Pm 3.60, 6 Sm 3.60-3.63, 2 La 3.66
Sm  0.7482  0.5000  0.7472  3 Ho 3.60-3.65, 1 Pm 3.60, 6 Sm 3.60-3.63, 2 La 3.66
Sm  0.7495  0.0000  0.2504  6 Sm 3.60-3.63, 3 Ho 3.62-3.63, 2 Pm 3.62, 1 La 3.63
Ho  0.5000  0.0000  0.5000  6 Sm 3.60-3.62, 4 Pm 3.61, 2 Ho 3.63
Ho  0.5000  0.5000  0.0000  4 La 3.61, 2 Ho 3.63, 6 Sm 3.63-3.65